A plane-wave DFT calculation with GGA+U was carried out for MnPbF3 after structural relaxation.

Summary:
Symmetry = P2_1/m
ΔE to the lowest computed polymorph = 0.00 eV/f.u.

Unit cell a=4.1684 b=5.8946 c=7.3454 alpha=99.01 beta=90.00 gamma=90.00
Each line ends with the local moment (μB).
Fractional coordinates of all 10 atoms:
Pb (0.7500, 0.7202, 0.3207)  -0.01
Pb (0.2500, 0.2798, 0.6793)  -0.01
F (0.2500, 0.9657, 0.3250)  0.02
F (0.7500, 0.0343, 0.6750)  0.02
F (0.2500, 0.9091, 0.8921)  0.05
F (0.7500, 0.5381, 0.6467)  0.03
F (0.7500, 0.0909, 0.1079)  0.05
F (0.2500, 0.4619, 0.3533)  0.03
Mn (0.7500, 0.7996, 0.8717)  4.67
Mn (0.2500, 0.2004, 0.1283)  4.67